{"formula": "CeHoPu2N4", "functional": "PBE-GGA", "state": "optimized geometry", "spacegroup": "No. 10", "dft_energy_ev_per_cell": -83.92, "cell": [[-0.624, -2.780, 2.037], [3.747, 2.253, 4.222], [-5.590, 1.990, 1.002]], "species": ["Ce", "Ho", "Pu", "Pu", "N", "N", "N", "N"], "frac_coords": [[0.000, 0.000, 0.000], [0.500, 0.500, 0.000], [0.500, 0.000, 0.500], [0.000, 0.500, 0.500], [0.500, 0.260, 0.259], [0.500, 0.740, 0.741], [0.000, 0.252, 0.742], [0.000, 0.748, 0.258]]}



{"formula": "Ce2HoPuN4", "functional": "PBE-GGA", "state": "optimized geometry", "spacegroup": "No. 10", "dft_energy_ev_per_cell": -75.98, "cell": [[-0.011, 3.466, -0.629], [-3.596, -0.886, -4.820], [-3.429, 0.890, 4.964]], "species": ["Ce", "Ce", "Ho", "Pu", "N", "N", "N", "N"], "frac_coords": [[0.500, 0.000, 0.500], [0.000, 0.500, 0.500], [0.500, 0.500, 0.000], [0.000, 0.000, 0.000], [0.500, 0.245, 0.239], [0.500, 0.755, 0.761], [0.000, 0.251, 0.756], [0.000, 0.749, 0.244]]}



{"formula": "CeHo2RhN4", "functional": "PBE-GGA", "state": "optimized geometry", "spacegroup": "No. 63", "dft_energy_ev_per_cell": -128.65, "cell": [[-1.187, 1.728, 2.644], [-1.872, -5.713, 0.742], [9.626, -2.390, 5.883]], "species": ["Ce", "Ce", "Ho", "Ho", "Ho", "Ho", "Rh", "Rh", "N", "N", "N", "N", "N", "N", "N", "N"], "frac_coords": [[0.115, 0.230, 0.750], [0.885, 0.770, 0.250], [0.371, 0.742, 0.548], [0.629, 0.258, 0.048], [0.629, 0.258, 0.452], [0.371, 0.742, 0.952], [0.854, 0.708, 0.750], [0.146, 0.292, 0.250], [0.277, 0.553, 0.129], [0.723, 0.447, 0.629], [0.723, 0.447, 0.871], [0.277, 0.553, 0.371], [0.000, 0.000, 0.500], [0.000, 0.000, 0.000], [0.460, 0.919, 0.750], [0.540, 0.081, 0.250]]}